# YO, optimized geometry, DFT PBE-GGA
data_YO
_cell_length_a 7.0371
_cell_length_b 7.0371
_cell_length_c 7.0371
_cell_angle_alpha 90.00
_cell_angle_beta 90.00
_cell_angle_gamma 90.00
_symmetry_space_group_name_H-M 'I -4 3 m'
_symmetry_Int_Tables_number 217
_symmetry_space_group_name_Hall 'I -4 2 3'
loop_
_atom_site_label
_atom_site_fract_x
_atom_site_fract_y
_atom_site_fract_z
Y1 0.1747 0.1747 0.8253
O1 0.1449 0.1449 0.1449
# E_form (uncorrected)   -270.28 kJ per mole of atoms
# Crystal system   cubic
# VASP energy   -136.2 eV per cell
# DOS(E_F)   1.1 states/eV/f.u.